Entry 1:
A plane-wave DFT calculation with PBE was carried out for a relaxed structure of Na4In2HgPd.

Results
- Electronic total energy: -0.162 Ry per atom

a b c (Å): 4.9506 4.9506 7.1955
angles (deg): 90.00 90.00 90.00
Closest atoms and distances in Å follow each position.
Space group P-4m2 (No. 115)
Inequivalent atoms, fractional coordinates:
Na 0.0000 0.0000 0.0000 [1 per cell]  4 In 2.97, 4 Na 3.02
Na 0.0000 0.5000 0.2403 [2 per cell]  4 Na 3.02-3.10, 2 Pd 3.02, 2 Hg 3.10, 1 In 3.37
Na 0.5000 0.5000 0.5000 [1 per cell]  4 Na 3.10, 4 In 3.15
In 0.0000 0.5000 0.7716 [2 per cell]  4 Na 2.97-3.15, 2 Pd 2.97, 2 Hg 3.15
Hg 0.0000 0.0000 0.5000 [1 per cell]  4 Na 3.10, 4 In 3.15
Pd 0.5000 0.5000 0.0000 [1 per cell]  4 In 2.97, 4 Na 3.02

---

Entry 2:
A plane-wave DFT calculation with PBE was carried out for a relaxed structure of HfFe2Au.

Results
- Formation enthalpy at 0 K: -0.04 eV per atom
- Total moment: 4.5 μB/f.u.

a b c (Å): 6.3010 6.3010 6.3010
angles (deg): 90.00 90.00 90.00
Closest atoms and distances in Å follow each position.
Space group F-43m (No. 216)
Inequivalent atoms, fractional coordinates:
Hf 0.0000 0.0000 0.0000 [4 per cell]  4 Fe 2.73, 4 Au 2.73
Fe 0.0000 0.0000 0.5000 [4 per cell]  4 Fe 2.73, 4 Au 2.73
Fe 0.2500 0.2500 0.2500 [4 per cell]  4 Hf 2.73, 4 Fe 2.73
Au 0.2500 0.2500 0.7500 [4 per cell]  4 Hf 2.73, 4 Fe 2.73

---

Entry 3:
A plane-wave DFT calculation with PBE was carried out for a relaxed structure of KSmFeTe3.

Results
- Excess energy over the best structure of this formula in the dataset: 0.0 meV/atom
- Total moment: 3.8 μB/f.u.

a b c (Å): 16.3539 4.3235 11.8400
angles (deg): 90.00 90.00 90.00
Closest atoms and distances in Å follow each position.
Space group Pnma (No. 62)
Inequivalent atoms, fractional coordinates:
K 0.2317 0.2500 0.0296 [4 per cell]  6 Te 3.48-3.62
Sm 0.0184 0.2500 0.3423 [4 per cell]  6 Te 3.09-3.20
Fe 0.0076 0.7500 0.0738 [4 per cell]  4 Te 2.62-2.73, 2 Fe 2.79
Te 0.0892 0.7500 0.8831 [4 per cell]  3 Fe 2.62-2.73
Te 0.1050 0.2500 0.5747 [4 per cell]  3 Sm 3.09-3.12
Te 0.1274 0.7500 0.2261 [4 per cell]  1 Fe 2.66

---

Entry 4:
A plane-wave DFT calculation with PBE was carried out for a relaxed structure of SiNiMo4C2.

Results
- Electronic total energy: -0.668 Ry per atom
- Total moment: 0.0 μB/f.u.

a b c (Å): 3.0817 3.0817 12.4588
angles (deg): 90.00 90.00 120.00
Closest atoms and distances in Å follow each position.
Space group P-6m2 (No. 187)
Inequivalent atoms, fractional coordinates:
Si 0.0000 0.0000 0.0000 [1 per cell]  6 Mo 2.61
Ni 0.6667 0.3333 0.5000 [1 per cell]  6 Mo 2.68
Mo 0.0000 0.0000 0.3396 [2 per cell]  3 C 2.10
Mo 0.6667 0.3333 0.1532 [2 per cell]  3 C 2.15
C 0.3333 0.6667 0.2505 [2 per cell]  6 Mo 2.10-2.15

---

Entry 5:
A plane-wave DFT calculation with PBE was carried out for a relaxed structure of YHfCoGe.

Results
- Excess energy over the best structure of this formula in the dataset: 0.0 meV/atom
- Total moment: 0.0 μB/f.u.

a b c (Å): 6.6273 6.6273 6.6273
angles (deg): 90.00 90.00 90.00
Closest atoms and distances in Å follow each position.
Space group F-43m (No. 216)
Inequivalent atoms, fractional coordinates:
Y 0.0000 0.0000 0.0000 [4 per cell]  4 Ge 2.87, 4 Hf 2.87
Hf 0.2500 0.2500 0.7500 [4 per cell]  4 Co 2.87, 4 Y 2.87
Co 0.0000 0.0000 0.5000 [4 per cell]  4 Hf 2.87, 4 Ge 2.87
Ge 0.2500 0.2500 0.2500 [4 per cell]  4 Co 2.87, 4 Y 2.87

---

Entry 6:
A plane-wave DFT calculation with PBE was carried out for a relaxed structure of Ho2Er2CF5.

Results
- Electronic total energy: -0.466 Ry per atom
- Total moment: 0.0 μB/f.u.

a b c (Å): 14.4782 3.3573 6.7292
angles (deg): 90.00 116.28 90.00
Closest atoms and distances in Å follow each position.
Space group C2/m (No. 12)
Inequivalent atoms, fractional coordinates:
Ho 0.1872 0.0000 0.1907 [4 per cell]  6 F 2.32-2.55, 1 C 2.43
Er 0.0022 0.5000 0.7631 [4 per cell]  4 F 2.24-2.43, 2 C 2.33
C 0.0000 0.0000 0.0000 [2 per cell]  4 Er 2.33, 2 Ho 2.43
F 0.0000 0.0000 0.5000 [2 per cell]  4 Er 2.43
F 0.1702 0.5000 0.4584 [4 per cell]  1 Er 2.27, 1 Ho 2.35
F 0.1742 0.5000 0.8938 [4 per cell]  1 Er 2.24, 1 Ho 2.32

---

Entry 7:
A plane-wave DFT calculation with PBE was carried out for a relaxed structure of TlCuTcSe3.

Results
- Excess energy over the best structure of this formula in the dataset: 52.2 meV/atom
- Total moment: 0.4 μB/f.u.

a b c (Å): 10.2017 3.7541 13.9956
angles (deg): 90.00 90.00 90.00
Closest atoms and distances in Å follow each position.
Space group Pnma (No. 62)
Inequivalent atoms, fractional coordinates:
Tl 0.2303 0.2500 0.0029 [4 per cell]  7 Se 3.25-3.41, 2 Cu 3.36
Cu 0.2488 0.2500 0.7017 [4 per cell]  4 Se 2.35-2.47
Tc 0.0484 0.7500 0.7480 [4 per cell]  5 Se 2.45-2.56
Se 0.0288 0.7500 0.1438 [4 per cell]  1 Cu 2.41, 2 Tc 2.54
Se 0.0448 0.2500 0.6235 [4 per cell]  1 Cu 2.35, 2 Tc 2.56
Se 0.2304 0.2500 0.3158 [4 per cell]  1 Tc 2.45, 2 Cu 2.47

---

Entry 8:
A plane-wave DFT calculation with PBE was carried out for a relaxed structure of Y2ScTcC6.

Results
- Electronic total energy: -0.612 Ry per atom
- Total moment: 0.4 μB/f.u.

a b c (Å): 8.3316 5.6489 6.7756
angles (deg): 90.00 122.21 90.00
Closest atoms and distances in Å follow each position.
Space group C2/m (No. 12)
Inequivalent atoms, fractional coordinates:
Y 0.2235 0.0000 0.1711 [4 per cell]  6 C 2.50-2.76
Sc 0.0000 0.0000 0.5000 [2 per cell]  4 C 2.24
Tc 0.0000 0.5000 0.0000 [2 per cell]  6 C 2.09-2.19
C 0.0261 0.2687 0.2747 [8 per cell]  1 C 1.38
C 0.0746 0.5000 0.3476 [4 per cell]  2 C 1.38